The following is a DFT calculation (GGA-PBE) of a relaxed SrHfTi2Rh crystal.

a = 4.5535 Å, b = 4.5535 Å, c = 5.1210 Å
α = 90.00°, β = 90.00°, γ = 90.00°
Last column: nearest neighbours and their distance in Å.
Atoms (fractional coordinates):
Sr1 0.0000 0.0000 0.0000  4 Ti 2.28
Hf1 0.0000 0.0000 0.5000  2 Sr 2.56
Ti1 0.0000 0.5000 0.0000  2 Sr 2.28
Ti2 0.5000 0.0000 0.0000  2 Sr 2.28
Rh1 0.5000 0.5000 0.5000  4 Hf 3.22, 8 Ti 3.43

Calculated values
energy of formation	1.971	eV per atom
space group	P4/mmm, No. 123
magnetic moment	0.79	Bohr magnetons per cell
E	-4.984	eV/atom
theoretical density	7.27	g/cm3